No. 1
Compound: Ca2Ti2Ni15
Source: Alexandria via LeMat-Bulk
Functional: PBE
Structure: optimized geometry

abc: 6.3526 6.3526 6.3526
angles: 82.53 82.53 82.53
Site moments in Bohr magnetons follow the coordinates.
Fractional positions:
1 Ni 0.0000 0.7064 0.2936  0.20
2 Ni 0.8492 0.3416 0.3416  0.18
3 Ni 0.6584 0.6584 0.1508  0.18
4 Ni 0.2936 0.7064 0.0000  0.20
5 Ni 0.3416 0.8492 0.3416  0.18
6 Ni 0.0000 0.5000 0.0000  0.15
7 Ni 0.3416 0.3416 0.8492  0.18
8 Ni 0.7064 0.0000 0.2936  0.20
9 Ni 0.0000 0.2936 0.7064  0.20
10 Ni 0.0000 0.0000 0.5000  0.15
11 Ni 0.2936 0.0000 0.7064  0.20
12 Ni 0.1508 0.6584 0.6584  0.18
13 Ni 0.5000 0.0000 0.0000  0.15
14 Ni 0.6584 0.1508 0.6584  0.18
15 Ni 0.7064 0.2936 0.0000  0.20
16 Ca 0.6483 0.6483 0.6483  -0.01
17 Ca 0.3517 0.3517 0.3517  -0.01
18 Ti 0.8970 0.8970 0.8970  -0.27
19 Ti 0.1030 0.1030 0.1030  -0.27

Values from the calculation:
The symmetry is No. 166. Its formation energy is -192 meV per atom. The calculation puts the density at 7.0 Mg/m³. As for the total magnetization: 1.86 μB per formula unit.

---

No. 2
Compound: CaTiNi4
Source: Alexandria via LeMat-Bulk
Functional: PBE
Structure: optimized geometry

abc: 4.9062 4.9062 4.9062
angles: 60.00 60.00 60.00
Fractional positions:
1 Ni 0.6246 0.6245 0.1264
2 Ni 0.1264 0.6245 0.6245
3 Ni 0.6246 0.1264 0.6245
4 Ni 0.6246 0.6245 0.6245
5 Ti 0.2500 0.2500 0.2500
6 Ca 0.0000 0.0000 0.0000

Values from the calculation:
The symmetry is No. 216. Its formation energy is -176 meV per atom. The calculation puts the density at 6.4 Mg/m³. As for the total magnetization: 0.00 μB per formula unit.

---

No. 3
Compound: CaTi2Ni
Source: Alexandria via LeMat-Bulk
Functional: PBE
Structure: optimized geometry

abc: 4.6158 4.6158 4.6158
angles: 60.00 60.00 60.00
Fractional positions:
1 Ti 0.2500 0.2500 0.2500
2 Ti 0.7500 0.7500 0.7500
3 Ni 0.5000 0.5000 0.5000
4 Ca 0.0000 0.0000 0.0000

Values from the calculation:
The symmetry is No. 225. The distance to the lowest polymorph of the same formula is 0.0 meV per atom. Its formation energy is 471 meV per atom. The calculation puts the density at 4.6 Mg/m³. As for the total magnetization: 0.05 μB per formula unit.

---

What is the density in the second record?
6.4 Mg/m³